[1]
The following is a DFT calculation (PBE-GGA) of Li4Er3TmTe8 after structural relaxation.

abc: 8.622 8.632 8.622
angles: 119.97 120.00 90.00
Positions (direct):
Te 0.249 0.246 0.498
Tm 0.000 0.500 0.000
Li 0.000 0.000 0.000
Er 0.000 0.500 0.500
Li 0.000 0.000 0.500
Te 0.749 0.247 0.998
Te 0.751 0.754 0.502
Te 0.251 0.753 0.501
Te 0.749 0.247 0.499
Li 0.500 0.000 0.000
Te 0.248 0.247 0.998
Er 0.500 0.500 0.000
Te 0.752 0.753 0.002
Te 0.251 0.753 0.002
Er 0.500 0.500 0.500
Li 0.500 0.000 0.500

[2]
The following is a DFT calculation (PBE-GGA) of LiEr2Tm3Te6 after structural relaxation.

abc: 4.293 8.598 9.621
angles: 102.99 102.89 90.00
Positions (direct):
Te 0.336 0.415 0.671
Te 0.000 0.757 0.999
Tm 0.831 0.170 0.662
Te 0.663 0.080 0.326
Te 0.337 0.920 0.674
Li 0.500 0.000 0.000
Te 0.664 0.585 0.329
Er 0.830 0.659 0.660
Tm 0.500 0.500 0.000
Tm 0.169 0.830 0.338
Te 0.000 0.243 0.001
Er 0.170 0.341 0.340

[3]
The following is a DFT calculation (PBE-GGA) of Li3ErTm2Te6 after structural relaxation.

abc: 7.457 7.457 7.473
angles: 99.57 99.57 120.01
Positions (direct):
Te 0.250 0.250 0.747
Li 0.833 0.167 0.500
Te 0.581 0.916 0.747
Tm 0.333 0.667 0.000
Tm 0.667 0.333 0.000
Te 0.084 0.419 0.253
Er 0.000 0.000 0.000
Te 0.750 0.750 0.253
Li 0.500 0.500 0.500
Te 0.916 0.581 0.747
Te 0.419 0.084 0.253
Li 0.167 0.833 0.500

[4]
The following is a DFT calculation (PBE-GGA) of Li4ErTm3Te8 after structural relaxation.

abc: 8.609 8.626 8.609
angles: 119.96 120.00 90.00
Positions (direct):
Te 0.750 0.753 0.002
Li 0.500 0.000 0.500
Er 0.000 0.500 0.000
Li 0.000 0.000 0.000
Te 0.251 0.753 0.002
Te 0.751 0.752 0.502
Te 0.749 0.247 0.998
Tm 0.500 0.500 0.500
Li 0.500 0.000 0.000
Te 0.249 0.248 0.498
Te 0.250 0.247 0.998
Te 0.251 0.753 0.503
Tm 0.500 0.500 0.000
Tm 0.000 0.500 0.500
Te 0.749 0.247 0.497
Li 0.000 0.000 0.500

Here are the calculated V numbers, same order: 454.0, 336.8, 339.4, 452.3 (Å³ per cell).
Here are the calculated uncorrected formation energy numbers, same order: -1278.2, -1235.7, -1274.9, -1273.8 (meV per atom).